1.
An optimized crystal structure of Ag2RuW, computed with PBE.

Cell lengths 5.2736, 5.2736, 5.2736 Å; angles 138.24, 138.24, 60.54 degrees
Closest atoms and distances in Å follow each position.
Fractional positions:
1 W 0.7500 0.2500 0.5000  4 Ru 2.66, 8 Ag 2.95
2 Ag 0.0000 0.0000 0.0000  4 Ag 2.66, 4 Ru 2.95, 4 W 2.95
3 Ag 0.5000 0.5000 0.0000  4 Ag 2.66, 4 W 2.95, 4 Ru 2.95
4 Ru 0.2500 0.7500 0.5000  4 W 2.66, 8 Ag 2.95

Calculated values
As for the total DFT energy (no corrections): -25.61 eV/cell. As for the symmetry: I4/mmm.

---

2.
An optimized crystal structure of AgRuW2, computed with PBE.

Cell lengths 4.8556, 4.8556, 4.9250 Å; angles 79.88, 79.88, 33.73 degrees
Closest atoms and distances in Å follow each position.
Fractional positions:
1 W 0.7456 0.7456 0.7506  3 Ag 2.77-2.84, 4 Ru 2.78-2.90, 5 W 2.82-2.86
2 W 0.9949 0.9949 0.0148  3 Ru 2.67-2.84, 4 Ag 2.79-2.88, 5 W 2.82-2.86
3 Ru 0.2576 0.2576 0.2324  7 W 2.67-2.90, 2 Ru 2.82, 3 Ag 2.83-2.87
4 Ag 0.5019 0.5019 0.5023  7 W 2.77-2.88, 2 Ag 2.82, 3 Ru 2.83-2.87

Calculated values
As for the total DFT energy (no corrections): -36.21 eV/cell. As for the symmetry: Cm.

---

3.
An optimized crystal structure of AgRuW2, computed with PBE.

Cell lengths 3.2211, 3.2211, 6.2474 Å; angles 90.00, 90.00, 90.00 degrees
Closest atoms and distances in Å follow each position.
Fractional positions:
1 Ag 0.0000 0.0000 0.5038  4 Ru 2.85, 5 W 2.85-3.03
2 Ru 0.5000 0.5000 0.7773  5 W 2.64-2.82, 4 Ag 2.85
3 W 0.5000 0.5000 0.2293  4 W 2.73, 1 Ru 2.82, 4 Ag 2.85
4 W 0.0000 0.0000 0.9895  4 Ru 2.64, 4 W 2.73

Calculated values
As for the total DFT energy (no corrections): -36.20 eV/cell. As for the symmetry: P4mm.

---

4.
An optimized crystal structure of AgRu2W, computed with PBE.

Cell lengths 4.7687, 4.7687, 4.9381 Å; angles 79.28, 79.28, 34.18 degrees
Closest atoms and distances in Å follow each position.
Fractional positions:
1 Ru 0.4873 0.4873 0.5248  3 W 2.63-2.83, 4 Ru 2.68-2.80, 3 Ag 2.77-2.88
2 Ru 0.0127 0.0127 0.9752  3 W 2.63-2.83, 4 Ru 2.68-2.80, 3 Ag 2.77-2.88
3 Ag 0.2500 0.2500 0.2500  6 Ru 2.77-2.88, 2 Ag 2.80, 4 W 2.84
4 W 0.7500 0.7500 0.7500  6 Ru 2.63-2.83, 2 W 2.80, 4 Ag 2.84

Calculated values
As for the total DFT energy (no corrections): -32.87 eV/cell. As for the symmetry: C2/m.

---

5.
An optimized crystal structure of AgRuW2, computed with PBE.

Cell lengths 3.9136, 3.9136, 4.0798 Å; angles 90.00, 90.00, 90.00 degrees
Closest atoms and distances in Å follow each position.
Fractional positions:
1 Ag 0.5000 0.0000 0.5000  4 Ru 2.77, 8 W 2.83
2 Ru 0.0000 0.5000 0.5000  4 Ag 2.77, 8 W 2.83
3 W 0.5000 0.5000 0.0000  4 W 2.77, 4 Ru 2.83, 4 Ag 2.83
4 W 0.0000 0.0000 0.0000  4 W 2.77, 4 Ru 2.83, 4 Ag 2.83

Calculated values
As for the total DFT energy (no corrections): -36.25 eV/cell. As for the symmetry: P4/mmm.

---

6.
An optimized crystal structure of AgRu2W, computed with PBE.

Cell lengths 4.0020, 2.7668, 6.2050 Å; angles 63.50, 90.00, 90.00 degrees
Closest atoms and distances in Å follow each position.
Fractional positions:
1 W 0.0000 0.5284 0.4733  5 Ru 2.50-2.74, 2 W 2.77
2 Ag 0.5000 0.7453 0.7548  6 Ru 2.75-2.85, 2 Ag 2.77, 4 W 2.89
3 Ru 0.5000 0.2499 0.2492  4 W 2.73-2.74, 6 Ru 2.74-2.77, 2 Ag 2.75-2.81
4 Ru 0.0000 0.9764 0.0227  1 W 2.50, 6 Ru 2.74-2.77

Calculated values
As for the total DFT energy (no corrections): -32.84 eV/cell. As for the symmetry: Pmm2.

---

What is the total DFT energy (no corrections) in the second record? -36.21 eV/cell